Record 1
First-principles (GGA-PBE) data for an optimized crystal structure of CsPaRuO6, as listed in the Alexandria database.

Properties
Crystal system: orthorhombic
Final energy (eV per atom): -7.53

Cell: 7.361 8.000 10.908 Å, 90.00 90.00 90.00°
Space group Imma (No. 74)
Unique sites:
Cs 0.000 0.250 0.113
Pa 0.000 0.000 0.500
Ru 0.250 0.250 0.750
O 0.000 0.250 0.422
O 0.000 0.250 0.786
O 0.211 0.078 0.627

***

Record 2
First-principles (GGA-PBE) data for an optimized crystal structure of ThTeAu, as listed in the Alexandria database.

Properties
Crystal system: tetragonal
ΔE to the lowest computed polymorph (meV/atom): 540.8

Cell: 4.118 4.118 13.849 Å, 90.00 90.00 90.00°
Space group I4mm (No. 107)
Unique sites:
Th 0.000 0.000 0.000
Te 0.000 0.000 0.587
Au 0.000 0.000 0.802